# ZnFeW2 (GGA-PBE, optimized geometry)
data_ZnFeW2
_cell_length_a 2.653
_cell_length_b 2.653
_cell_length_c 8.623
_cell_angle_alpha 90.00
_cell_angle_beta 90.00
_cell_angle_gamma 105.58
_space_group_name_H-M_alt 'P 1'
_space_group_IT_number 1
loop_
_space_group_symop_operation_xyz
'x,y,z'
loop_
_atom_site_label
_atom_site_type_symbol
_atom_site_fract_x
_atom_site_fract_y
_atom_site_fract_z
Zn1 Zn 0.500 0.500 0.250
W1 W 0.000 0.000 0.509
W2 W 0.000 0.000 0.991
Fe1 Fe 0.500 0.500 0.750
# Energy of formation from the pure elements, meV per atom: 222
# Calculated volume, Å³ per cell: 58.44
# SG: Cmmm
# Total energy, eV per cell: -34.76



# ZnFeW2 (GGA-PBE, optimized geometry)
data_ZnFeW2
_cell_length_a 4.833
_cell_length_b 4.833
_cell_length_c 4.833
_cell_angle_alpha 133.78
_cell_angle_beta 133.78
_cell_angle_gamma 67.44
_space_group_name_H-M_alt 'P 1'
_space_group_IT_number 1
loop_
_space_group_symop_operation_xyz
'x,y,z'
loop_
_atom_site_label
_atom_site_type_symbol
_atom_site_fract_x
_atom_site_fract_y
_atom_site_fract_z
Fe1 Fe 0.750 0.250 0.500
Zn1 Zn 0.500 0.500 0.000
W1 W 0.000 0.000 0.000
W2 W 0.250 0.750 0.500
# Energy of formation from the pure elements, meV per atom: 313
# Calculated volume, Å³ per cell: 57.87
# SG: I-4m2
# Total energy, eV per cell: -34.39



# ZnFeW2 (GGA-PBE, optimized geometry)
data_ZnFeW2
_cell_length_a 6.970
_cell_length_b 6.970
_cell_length_c 5.557
_cell_angle_alpha 51.16
_cell_angle_beta 51.16
_cell_angle_gamma 90.00
_space_group_name_H-M_alt 'P 1'
_space_group_IT_number 1
loop_
_space_group_symop_operation_xyz
'x,y,z'
loop_
_atom_site_label
_atom_site_type_symbol
_atom_site_fract_x
_atom_site_fract_y
_atom_site_fract_z
W1 W 0.875 0.829 0.750
W2 W 0.579 0.125 0.250
W3 W 0.171 0.625 0.250
W4 W 0.375 0.421 0.750
Fe1 Fe 0.500 0.500 0.000
Fe2 Fe 0.250 0.750 0.500
Zn1 Zn 0.000 0.000 0.000
Zn2 Zn 0.750 0.250 0.500
# Energy of formation from the pure elements, meV per atom: 747
# Calculated volume, Å³ per cell: 124.73
# SG: I-42d
# Total energy, eV per cell: -65.31



Q: Number 3 is which compound?
A: ZnFeW2